VRuS4: optimized geometry, PBE.

**Electronic total energy**: -6.358 eV/atom
**E_form (uncorrected)**: -540 meV/atom

abc: 5.773 5.754 5.757
angles: 90.00 90.41 90.00
Space group P2_1/c (No. 14)
Inequivalent atoms, fractional coordinates:
V  0.000  0.000  0.000 (multiplicity 2)
Ru  0.500  0.000  0.500 (multiplicity 2)
S  0.116  0.106  0.395 (multiplicity 4)
S  0.396  0.615  0.384 (multiplicity 4)

VRuW2S: optimized geometry, PBE.

**Electronic total energy**: -8.950 eV/atom
**E_form (uncorrected)**: 735 meV/atom

abc: 4.394 4.394 4.172
angles: 90.00 90.00 90.00
Space group P4/mmm (No. 123)
Inequivalent atoms, fractional coordinates:
V  0.000  0.000  0.000 (multiplicity 1)
Ru  0.500  0.500  0.000 (multiplicity 1)
W  0.000  0.500  0.500 (multiplicity 2)
S  0.000  0.000  0.500 (multiplicity 1)

RuWS3: optimized geometry, PBE.

**Electronic total energy**: -6.152 eV/atom
**E above lowest polymorph**: 0.00 eV/f.u.
**E_form (uncorrected)**: 771 meV/atom

abc: 4.663 4.663 4.663
angles: 90.00 90.00 90.00
Space group Pm-3m (No. 221)
Inequivalent atoms, fractional coordinates:
Ru  0.000  0.000  0.000 (multiplicity 1)
W  0.500  0.500  0.500 (multiplicity 1)
S  0.000  0.500  0.500 (multiplicity 3)

RuWS3: optimized geometry, PBE.

**Electronic total energy**: -5.694 eV/atom
**E above lowest polymorph**: 2.29 eV/f.u.
**E_form (uncorrected)**: 1228 meV/atom

abc: 4.487 4.487 4.487
angles: 90.00 90.00 90.00
Space group Pm-3m (No. 221)
Inequivalent atoms, fractional coordinates:
Ru  0.000  0.000  0.000 (multiplicity 1)
W  0.500  0.500  0.500 (multiplicity 1)
S  0.000  0.000  0.500 (multiplicity 3)

E_form (uncorrected) of number 1 (VRuS4)?
-540 meV/atom